Material: TlZn2NCl
Method: DFT, PBE
State: relaxed

Cell lengths 4.1007, 6.8215, 4.1007 Å; angles 90.00, 90.00, 90.00 degrees
Positions (direct):
Tl 0.0000 0.5000 0.0000
N 0.0000 0.0000 0.0000
Zn 0.0000 0.0000 0.5000
Zn 0.5000 0.0000 0.0000
Cl 0.5000 0.5000 0.5000

Material: UN2Cl4
Method: DFT, PBE
State: relaxed

Cell lengths 4.9730, 4.9730, 11.6914 Å; angles 77.72, 77.72, 60.00 degrees
Positions (direct):
U 0.0000 0.0000 0.0000
N 0.2023 0.2023 0.3931
N 0.7977 0.7977 0.6069
Cl 0.3195 0.3195 0.0414
Cl 0.0735 0.0735 0.7795
Cl 0.6805 0.6805 0.9586
Cl 0.9265 0.9265 0.2205

Material: UNCl
Method: DFT, PBE
State: relaxed

Cell lengths 3.7236, 7.0920, 8.3114 Å; angles 90.00, 90.00, 90.00 degrees
Positions (direct):
Cl 0.2500 0.5264 0.3390
Cl 0.7500 0.9736 0.8390
Cl 0.2500 0.0264 0.1610
Cl 0.7500 0.4736 0.6610
U 0.2500 0.8232 0.5922
U 0.7500 0.1768 0.4078
U 0.2500 0.3232 0.9078
U 0.7500 0.6768 0.0922
N 0.7500 0.8719 0.4611
N 0.2500 0.6281 0.9611
N 0.7500 0.3719 0.0389
N 0.2500 0.1281 0.5389

Material: U2NCl2
Method: DFT, PBE
State: relaxed

Cell lengths 3.4525, 3.4525, 13.0111 Å; angles 90.00, 90.00, 90.00 degrees
Positions (direct):
U 0.5000 0.5000 0.1533
U 0.5000 0.5000 0.8467
N 0.5000 0.5000 0.0000
Cl 0.5000 0.5000 0.6568
Cl 0.5000 0.5000 0.3432

| no. | formation energy from raw total energies (kJ/mol of formula units) |
| --- | --- |
| 1 | 23 |
| 2 | 225 |
| 3 | -397 |
| 4 | -144 |